Entry P
## NdDyIn (PBE)

Data for a relaxed NdDyIn crystal.

Computed properties:
Spin magnetization (μB per atom): 0.323
SG: P4/nmm

POSCAR file:
```
NdDyIn
1.0
-0.392 1.677 -4.410
2.195 -3.853 -1.660
-7.402 -3.868 -0.812
Dy In Nd
2 2 2
direct
0.250 0.250 0.000 Dy
0.750 0.750 0.000 Dy
0.250 0.750 0.263 In
0.750 0.250 0.737 In
0.250 0.750 0.648 Nd
0.750 0.250 0.352 Nd
```


Entry Q
## NdDyIn (PBE)

Data for a relaxed NdDyIn crystal.

Computed properties:
Spin magnetization (μB per atom): 0.000
SG: P3m1

POSCAR file:
```
NdDyIn
1.0
3.718 0.000 0.000
0.000 5.291 0.000
0.000 -2.645 4.582
Nd In Dy
1 1 1
direct
0.362 0.333 0.667 Nd
0.721 0.667 0.333 In
0.917 0.000 0.000 Dy
```


Entry R
## NdDyIn (PBE)

Data for a relaxed NdDyIn crystal.

Computed properties:
Spin magnetization (μB per atom): 0.000
SG: I4/mmm

POSCAR file:
```
NdDyIn
1.0
3.517 0.000 0.000
0.000 3.517 0.000
-1.759 -1.759 14.944
Nd Dy In
2 2 2
direct
0.439 0.439 0.878 Nd
0.561 0.561 0.122 Nd
0.706 0.706 0.413 Dy
0.294 0.294 0.587 Dy
0.133 0.133 0.267 In
0.867 0.867 0.733 In
```


Tell me which of them is the least stable. Sure, it is entry R.